VASP calculation (GGA-PBEsol) on a relaxed CoCu2Ni crystal.

Computed properties:
**Uncorrected energy**: -5.482 eV per atom
**Space group**: No. 71
**Formation energy**: 0.1588 eV per atom
**Magnetization**: 1.95 μB/f.u.

```
CoCu2Ni
1.0
-0.6144 -1.2362 -2.1582
0.1767 -3.5738 1.9966
-3.8129 2.7397 1.0368
Co Ni Cu
1 1 2
Direct
0.0000 0.5000 0.0000
0.5000 0.0000 0.0000
0.7509 0.7509 0.5017
0.2491 0.2491 0.4983
```

---

VASP calculation (GGA-PBEsol) on a relaxed CoCuNi crystal.

Computed properties:
**Uncorrected energy**: -5.987 eV per atom
**Space group**: No. 44
**Formation energy**: 0.0890 eV per atom
**Magnetization**: 2.25 μB/f.u.

```
CoCuNi
1.0
-0.2070 2.4309 -0.2605
-2.9204 -0.4534 -1.9100
-0.4764 -0.8323 4.1675
Cu Ni Co
1 1 1
Direct
0.6666 0.6666 0.3331
0.3360 0.3360 0.6721
0.9975 0.9975 0.9950
```

---

VASP calculation (GGA-PBEsol) on a relaxed CoCu2Ni crystal.

Computed properties:
**Uncorrected energy**: -5.594 eV per atom
**Space group**: No. 160
**Formation energy**: 0.0462 eV per atom
**Magnetization**: 2.07 μB/f.u.

```
CoCu2Ni
1.0
2.4726 0.0000 0.0000
1.2363 2.1413 0.0000
1.2363 0.7138 8.1574
Cu Co Ni
2 1 1
Direct
0.7510 0.7510 0.7469
0.9992 0.9992 0.0025
0.2481 0.2481 0.2558
0.5017 0.5017 0.4949
```

---

VASP calculation (GGA-PBEsol) on a relaxed CoCu2Ni crystal.

Computed properties:
**Uncorrected energy**: -5.441 eV per atom
**Space group**: No. 225
**Formation energy**: 0.1992 eV per atom
**Magnetization**: 1.84 μB/f.u.

```
CoCu2Ni
1.0
-3.7091 1.0626 -0.8191
-1.6440 -1.0585 -3.4256
-2.8617 -2.7139 -0.0588
Cu Co Ni
2 1 1
Direct
0.2500 0.2500 0.2500
0.7500 0.7500 0.7500
0.0000 0.0000 0.0000
0.5000 0.5000 0.5000
```

---

VASP calculation (GGA-PBEsol) on a relaxed CoCuNi crystal.

Computed properties:
**Uncorrected energy**: -6.018 eV per atom
**Space group**: No. 156
**Formation energy**: 0.0580 eV per atom
**Magnetization**: 2.11 μB/f.u.

```
CoCuNi
1.0
-1.8230 1.5787 0.4864
0.4232 -0.7147 -2.3157
-3.8502 -4.6737 0.7389
Co Ni Cu
1 1 1
Direct
0.0000 0.0000 0.0062
0.3333 0.6667 0.3274
0.6667 0.3333 0.6664
```

---

VASP calculation (GGA-PBEsol) on a relaxed Co4CuNiS8 crystal.

Computed properties:
**Formation energy from raw total energies**: -0.539 eV per atom
**Uncorrected energy**: -6.005 eV per atom
**Space group**: No. 216
**Magnetization**: 0.00 μB/f.u.

```
Co4CuNiS8
1.0
6.5442 0.0000 0.0000
3.2721 5.6674 0.0000
3.2721 1.8891 5.3433
Co S Cu Ni
4 8 1 1
Direct
0.8748 0.8748 0.8748
0.8748 0.3755 0.8748
0.3755 0.8748 0.8748
0.8748 0.8748 0.3755
0.1126 0.6621 0.1126
0.0970 0.6343 0.6343
0.1126 0.1126 0.1126
0.6343 0.6343 0.0970
0.6343 0.0970 0.6343
0.6343 0.6343 0.6343
0.6621 0.1126 0.1126
0.1126 0.1126 0.6621
0.2500 0.2500 0.2500
0.5000 0.5000 0.5000
```